# Li2IrW

A geometry-optimized Li2IrW structure (PBE-GGA, Alexandria via LeMat-Bulk).

```
Li2IrW
1.0
1.343 0.776 9.446
-1.343 0.776 9.446
0.000 -1.551 9.446
Li Ir W
2 1 1
Cartesian
0.000 0.000 6.915 Li
0.000 0.000 21.425 Li
0.000 0.000 14.170 Ir
0.000 0.000 0.000 W
```

Calculated values
DFT formation energy = 0.148 eV per atom
total DFT energy (no corrections) = -25.05 eV for the cell shown
total magnetic moment = 0.1 μB per cell